No. 1
Material: CaPm2As
Method: DFT, PBE-GGA
State: optimized geometry

a b c (Å): 3.9922 3.9922 32.0526
angles (deg): 90.00 90.00 120.00
Space group R-3m (No. 166, hexagonal axes)
One atom of each set of equivalent atoms:
1 Ca 0.0000 0.0000 0.0000 [3 per cell]
2 Pm 0.0000 0.0000 0.1133 [6 per cell]
3 As 0.0000 0.0000 0.5000 [3 per cell]

Values from the calculation:
**Formation energy**: -49 kJ per mole of atoms
**Theoretical density**: 4.56 g/cm3
**Magnetization**: 0.5 μB/f.u.



No. 2
Material: Li3In2Ag3
Method: DFT, PBE-GGA
State: optimized geometry

a b c (Å): 4.6755 4.6755 22.9545
angles (deg): 90.00 90.00 120.00
Space group R3m (No. 160, hexagonal axes)
One atom of each set of equivalent atoms:
1 Li 0.0000 0.0000 0.0000 [3 per cell]
2 Li 0.0000 0.0000 0.1269 [3 per cell]
3 Li 0.0000 0.0000 0.5032 [3 per cell]
4 In 0.0000 0.0000 0.2520 [3 per cell]
5 In 0.0000 0.0000 0.7521 [3 per cell]
6 Ag 0.0000 0.0000 0.3780 [3 per cell]
7 Ag 0.0000 0.0000 0.6283 [3 per cell]
8 Ag 0.0000 0.0000 0.8746 [3 per cell]

Values from the calculation:
**Formation energy**: -24 kJ per mole of atoms
**Theoretical density**: 6.58 g/cm3
**Magnetization**: 0.0 μB/f.u.